# Er8P3SeS4 | Alexandria via LeMat-Bulk | GGA-PBE | optimized geometry
data_Er8P3SeS4
_chemical_formula_sum 'Er24 P9 Se3 S12'
_space_group_name_H-M_alt 'R -3 m'
_space_group_IT_number 166
_space_group_name_Hall '-R 3 2"'
_cell_length_a 7.8734
_cell_length_b 7.8734
_cell_length_c 19.1742
_cell_angle_alpha 90.00
_cell_angle_beta 90.00
_cell_angle_gamma 120.00
loop_
_atom_site_label
_atom_site_type_symbol
_atom_site_fract_x
_atom_site_fract_y
_atom_site_fract_z
Er1 Er 0.0000 0.0000 0.2469
Er2 Er 0.0128 0.5064 0.7506
P1 P 0.0000 0.5000 0.5000
Se1 Se 0.0000 0.0000 0.5000
S1 S 0.0000 0.0000 0.0000
S2 S 0.0000 0.5000 0.0000
# Calculated density (g/cm³): 7.9
# Final energy (eV/atom): -6.4011

---

# Er8PSe3S3 | Alexandria via LeMat-Bulk | GGA-PBE | optimized geometry
data_Er8PSe3S3
_chemical_formula_sum 'Er24 P3 Se9 S9'
_space_group_name_H-M_alt 'R -3 m'
_space_group_IT_number 166
_space_group_name_Hall '-R 3 2"'
_cell_length_a 7.8277
_cell_length_b 7.8277
_cell_length_c 19.5064
_cell_angle_alpha 90.00
_cell_angle_beta 90.00
_cell_angle_gamma 120.00
loop_
_atom_site_label
_atom_site_type_symbol
_atom_site_fract_x
_atom_site_fract_y
_atom_site_fract_z
Er1 Er 0.0000 0.0000 0.2416
Er2 Er 0.0006 0.5003 0.2437
P1 P 0.0000 0.0000 0.5000
Se1 Se 0.0000 0.5000 0.0000
S1 S 0.0000 0.5000 0.5000
# Calculated density (g/cm³): 8.2
# Final energy (eV/atom): -6.0198

---

# Er6P2Se3S | Alexandria via LeMat-Bulk | GGA-PBE | optimized geometry
data_Er6P2Se3S
_chemical_formula_sum 'Er12 P4 Se6 S2'
_space_group_name_H-M_alt 'C 1 2/m 1'
_space_group_IT_number 12
_cell_length_a 17.492
_cell_length_b 3.965
_cell_length_c 8.028
_cell_angle_alpha 90.00
_cell_angle_beta 104.44
_cell_angle_gamma 90.00
loop_
_space_group_symop_operation_xyz
'x,y,z'
'-x,-y,-z'
'-x,y,-z'
'x,-y,z'
'x+1/2,y+1/2,z'
'-x+1/2,-y+1/2,-z'
'-x+1/2,y+1/2,-z'
'x+1/2,-y+1/2,z'
loop_
_atom_site_label
_atom_site_type_symbol
_atom_site_fract_x
_atom_site_fract_y
_atom_site_fract_z
Er1 Er 0.007 0.000 0.240
Er2 Er 0.164 0.500 0.099
Er3 Er 0.173 0.500 0.570
P1 P 0.166 0.000 0.332
Se1 Se 0.000 0.500 0.500
Se2 Se 0.165 0.000 0.833
S1 S 0.000 0.500 0.000
# Calculated density (g/cm³): 8.2
# Final energy (eV/atom): -6.1929

---

# Er4P2SeS | Alexandria via LeMat-Bulk | GGA-PBE | optimized geometry
data_Er4P2SeS
_chemical_formula_sum 'Er8 P4 Se2 S2'
_space_group_name_H-M_alt 'I -4 m 2'
_space_group_IT_number 119
_space_group_name_Hall 'I -4 -2'
_cell_length_a 5.595
_cell_length_b 5.595
_cell_length_c 11.240
_cell_angle_alpha 90.00
_cell_angle_beta 90.00
_cell_angle_gamma 90.00
loop_
_atom_site_label
_atom_site_type_symbol
_atom_site_fract_x
_atom_site_fract_y
_atom_site_fract_z
Er1 Er 0.000 0.000 0.241
Er2 Er 0.000 0.500 0.505
P1 P 0.000 0.000 0.000
P2 P 0.000 0.500 0.750
Se1 Se 0.000 0.000 0.500
S1 S 0.000 0.500 0.250
# Calculated density (g/cm³): 7.9
# Final energy (eV/atom): -6.3815

---

| no. | formation energy from raw total energies (eV per atom) |
| --- | --- |
| 1 | -1.856 |
| 2 | -1.703 |
| 3 | -1.795 |
| 4 | -1.796 |